First-principles (PBE+U) data for a relaxed structure of Sr2VBrO4, as listed in Alexandria.

## Properties
electronic total energy = -6.5997 eV per atom

```
data_Sr2VBrO4
_symmetry_space_group_name_H-M 'P 1'
_symmetry_Int_Tables_number 1
_symmetry_space_group_name_Hall 'P 1'
_cell_length_a 6.631
_cell_length_b 7.620
_cell_length_c 11.772
_cell_angle_alpha 90.00
_cell_angle_beta 90.00
_cell_angle_gamma 90.00
loop_
_atom_site_label
_atom_site_type_symbol
_atom_site_fract_x
_atom_site_fract_y
_atom_site_fract_z
_atom_site_occupancy
O1 O 0.964 0.228 0.881 1
O2 O 0.280 0.073 0.029 1
O3 O 0.720 0.573 0.471 1
O4 O 0.964 0.228 0.619 1
O5 O 0.964 0.272 0.119 1
O6 O 0.964 0.272 0.381 1
O7 O 0.036 0.728 0.881 1
O8 O 0.280 0.073 0.471 1
O9 O 0.720 0.927 0.529 1
O10 O 0.280 0.427 0.971 1
O11 O 0.280 0.427 0.529 1
O12 O 0.720 0.927 0.971 1
O13 O 0.720 0.573 0.029 1
O14 O 0.036 0.772 0.381 1
O15 O 0.036 0.772 0.119 1
O16 O 0.036 0.728 0.619 1
Sr1 Sr 0.379 0.750 0.000 1
Sr2 Sr 0.881 0.532 0.250 1
Sr3 Sr 0.379 0.750 0.500 1
Sr4 Sr 0.119 0.468 0.750 1
Sr5 Sr 0.621 0.250 0.500 1
Sr6 Sr 0.881 0.968 0.750 1
Sr7 Sr 0.119 0.032 0.250 1
Sr8 Sr 0.621 0.250 0.000 1
V1 V 0.877 0.750 0.500 1
V2 V 0.123 0.250 0.500 1
V3 V 0.123 0.250 0.000 1
V4 V 0.877 0.750 0.000 1
Br1 Br 0.454 0.145 0.750 1
Br2 Br 0.546 0.855 0.250 1
Br3 Br 0.546 0.645 0.750 1
Br4 Br 0.454 0.355 0.250 1
```

First-principles (PBE+U) data for a relaxed structure of SrVBrO2, as listed in Alexandria.

## Properties
electronic total energy = -6.2721 eV per atom

```
data_SrVBrO2
_symmetry_space_group_name_H-M 'P 1'
_symmetry_Int_Tables_number 1
_symmetry_space_group_name_Hall 'P 1'
_cell_length_a 4.221
_cell_length_b 7.686
_cell_length_c 7.635
_cell_angle_alpha 120.41
_cell_angle_beta 90.00
_cell_angle_gamma 90.00
loop_
_atom_site_label
_atom_site_type_symbol
_atom_site_fract_x
_atom_site_fract_y
_atom_site_fract_z
_atom_site_occupancy
Br1 Br 0.250 0.973 0.750 1
Br2 Br 0.750 0.027 0.250 1
Sr1 Sr 0.250 0.673 0.958 1
Sr2 Sr 0.750 0.327 0.042 1
V1 V 0.250 0.607 0.445 1
V2 V 0.750 0.393 0.555 1
O1 O 0.750 0.494 0.840 1
O2 O 0.250 0.506 0.160 1
O3 O 0.750 0.564 0.443 1
O4 O 0.250 0.436 0.557 1
```

First-principles (PBE+U) data for a relaxed structure of SrWBrO2, as listed in Alexandria.

## Properties
electronic total energy = -3.8952 eV per atom

```
data_SrWBrO2
_symmetry_space_group_name_H-M 'P 1'
_symmetry_Int_Tables_number 1
_symmetry_space_group_name_Hall 'P 1'
_cell_length_a 4.498
_cell_length_b 7.575
_cell_length_c 4.498
_cell_angle_alpha 90.00
_cell_angle_beta 90.00
_cell_angle_gamma 90.00
loop_
_atom_site_label
_atom_site_type_symbol
_atom_site_fract_x
_atom_site_fract_y
_atom_site_fract_z
_atom_site_occupancy
W1 W 0.000 0.500 0.000 1
O1 O 0.000 0.000 0.500 1
O2 O 0.500 0.000 0.000 1
Br1 Br 0.500 0.500 0.500 1
Sr1 Sr 0.000 0.000 0.000 1
```

We obtain total moment values of 0.00 2.00 2.92 μB/f.u. for the records listed above, in that order.